[1]
Material: Nd3Co3Ir
Method: DFT, GGA-PBE
State: optimized geometry

As for the total moment: 2.524 μB per formula unit. The calculation puts the total energy at -0.241 hartree per atom.

The space group is Cmcm (No. 63) and the conventional cell measures 4.351, 10.297 and 12.647 Å, with angles of 90.00, 90.00 and 90.00 degrees. Symmetry generates all atoms from Nd at (0.000, 0.026, 0.250), Nd at (0.000, 0.268, 0.603), Co at (0.000, 0.333, 0.250), Co at (0.000, 0.439, 0.087) and Ir at (0.000, 0.000, 0.000).

=====

[2]
Material: NdCoIr
Method: DFT, GGA-PBE
State: optimized geometry

As for the total moment: 1.238 μB per formula unit. The calculation puts the total energy at -0.267 hartree per atom.

The space group is P-6m2 (No. 187) and the conventional cell measures 4.1008, 4.1008 and 4.1870 Å, with angles of 90.00, 90.00 and 120.00 degrees. Symmetry generates all atoms from Nd at (0.0000, 0.0000, 0.0000), Co at (0.3333, 0.6667, 0.5000) and Ir at (0.6667, 0.3333, 0.5000).

=====

[3]
Material: Nd3CoIr
Method: DFT, GGA-PBE
State: optimized geometry

As for the total moment: 0.006 μB per formula unit. The calculation puts the total energy at -0.233 hartree per atom.

The space group is P-1 (No. 2) and the conventional cell measures 3.948, 7.927 and 8.319 Å, with angles of 92.52, 90.02 and 104.34 degrees. Symmetry generates all atoms from Nd at (0.052, 0.104, 0.324), Nd at (0.234, 0.468, 0.684), Nd at (0.394, 0.792, 0.053), Co at (0.215, 0.428, 0.049) and Ir at (0.398, 0.797, 0.432).

=====

[4]
Material: NdCoIr
Method: DFT, GGA-PBE
State: optimized geometry

As for the total moment: 0.000 μB per formula unit. The calculation puts the total energy at -0.256 hartree per atom.

The space group is P4_12_12 (No. 92) and the conventional cell measures 6.759, 6.759 and 5.874 Å, with angles of 90.00, 90.00 and 90.00 degrees. Symmetry generates all atoms from Nd at (0.246, 0.246, 0.000), Co at (0.134, 0.866, 0.750) and Ir at (0.127, 0.127, 0.500).

=====

[5]
Material: Nd8Co2Ir
Method: DFT, GGA-PBE
State: optimized geometry

As for the total moment: 0.000 μB per formula unit. The calculation puts the total energy at -0.208 hartree per atom.

The space group is Cm (No. 8) and the conventional cell measures 8.256, 12.621 and 6.457 Å, with angles of 90.00, 109.72 and 90.00 degrees. Symmetry generates all atoms from Nd at (0.000, 0.000, 0.000), Nd at (0.072, 0.365, 0.798), Nd at (0.140, 0.135, 0.575), Nd at (0.213, 0.500, 0.389), Nd at (0.352, 0.203, 0.191), Co at (0.359, 0.312, 0.693) and Ir at (0.358, 0.000, 0.391).

=====

[6]
Material: NdCoIr
Method: DFT, GGA-PBE
State: optimized geometry

As for the total moment: 0.895 μB per formula unit. The calculation puts the total energy at -0.269 hartree per atom.

The space group is Imma (No. 74) and the conventional cell measures 5.193, 5.470 and 7.448 Å, with angles of 90.00, 90.00 and 90.00 degrees. Symmetry generates all atoms from Nd at (0.000, 0.250, 0.123), Co at (0.250, 0.250, 0.750) and Ir at (0.000, 0.000, 0.500).

=====

[7]
Material: Nd3CoIr2
Method: DFT, GGA-PBE
State: optimized geometry

As for the total moment: 0.024 μB per formula unit. The calculation puts the total energy at -0.257 hartree per atom.

The space group is Pnma (No. 62) and the conventional cell measures 11.486, 4.135 and 11.849 Å, with angles of 90.00, 90.00 and 90.00 degrees. Symmetry generates all atoms from Nd at (0.056, 0.250, 0.120), Nd at (0.121, 0.750, 0.556), Nd at (0.203, 0.250, 0.802), Co at (0.126, 0.250, 0.363), Ir at (0.030, 0.750, 0.315) and Ir at (0.191, 0.750, 0.985).